1.
5
Lattice="4.794 0.000 0.000 0.000 4.794 0.000 0.000 0.000 4.794" Properties=species:S:1:pos:R:3 comment="CuGe3Cl PBE relaxed" dos_at_fermi_per_ev_fu=8.45 e_above_lowest_polymorph_ev_per_fu=0.00 pbc="T T T"
Ge 0.000 2.397 0.000
Ge 0.000 0.000 2.397
Ge 2.397 0.000 0.000
Cu 0.000 0.000 0.000
Cl 2.397 2.397 2.397

2.
6
Lattice="4.849 0.000 0.002 0.000 4.642 0.000 -2.211 0.000 5.266" Properties=species:S:1:pos:R:3 comment="CuGeCl PBE relaxed" dos_at_fermi_per_ev_fu=0.43 e_above_lowest_polymorph_ev_per_fu=0.00 pbc="T T T"
Ge 0.629 1.161 2.258
Ge 2.009 3.482 3.011
Cu 3.097 1.161 2.911
Cu -0.460 3.482 2.358
Cl 1.225 1.161 0.038
Cl 1.412 3.482 5.231

3.
5
Lattice="4.749 0.000 0.000 0.000 4.749 0.000 0.000 0.000 4.749" Properties=species:S:1:pos:R:3 comment="CuGeCl3 PBE relaxed" dos_at_fermi_per_ev_fu=3.50 e_above_lowest_polymorph_ev_per_fu=2.19 pbc="T T T"
Ge 2.375 2.375 2.375
Cu 0.000 0.000 0.000
Cl 0.000 2.375 0.000
Cl 0.000 0.000 2.375
Cl 2.375 0.000 0.000

4.
3
Lattice="3.425 0.099 0.009 -0.019 3.434 -0.001 -1.703 -1.743 5.340" Properties=species:S:1:pos:R:3 comment="CuGeCl PBE relaxed" dos_at_fermi_per_ev_fu=0.79 e_above_lowest_polymorph_ev_per_fu=0.19 pbc="T T T"
Ge 1.259 2.259 3.678
Cu -0.450 0.491 4.335
Cl 1.269 2.271 1.377

5.
18
Lattice="-2.313 -1.130 5.180 -3.372 -9.840 -0.562 7.921 0.541 6.744" Properties=species:S:1:pos:R:3 comment="CuGe2Cl6 PBE relaxed" dos_at_fermi_per_ev_fu=5.39 pbc="T T T"
Cu 5.137 -1.769 6.612
Cu -2.901 -8.660 4.749
Ge 3.533 -5.417 6.391
Ge 2.235 -2.263 3.917
Ge -1.297 -5.012 4.970
Ge 0.001 -8.165 7.444
Cl 0.888 -7.382 5.458
Cl 0.412 -4.404 1.961
Cl 1.348 -3.046 5.904
Cl 1.823 -6.024 9.401
Cl -1.875 -9.388 6.621
Cl -2.543 -6.658 3.774
Cl 4.110 -1.040 4.740
Cl 4.778 -3.771 7.587
Cl 5.049 -7.199 6.698
Cl 0.786 -0.420 3.654
Cl -2.813 -3.230 4.664
Cl 1.450 -10.009 7.707

6.
12
Lattice="-1.284 -3.615 -5.182 -0.746 -5.049 3.707 -9.010 1.964 0.863" Properties=species:S:1:pos:R:3 comment="CuGeCl4 PBE relaxed" dos_at_fermi_per_ev_fu=5.90 pbc="T T T"
Cu 0.000 0.000 0.000
Cu -5.147 -0.825 -2.160
Ge -0.373 -2.524 1.853
Ge -4.505 0.982 0.431
Cl -1.540 -1.806 0.066
Cl -8.720 -2.699 2.468
Cl -9.148 -2.512 -2.427
Cl -2.672 -6.382 -1.332
Cl -7.419 -5.439 -0.164
Cl -4.193 -2.870 -2.756
Cl -4.090 -4.431 1.879
Cl -6.379 -0.659 -0.185

7.
4
Lattice="-1.914 -4.130 0.183 -2.479 -1.203 3.628 -4.519 -0.435 -0.372" Properties=species:S:1:pos:R:3 comment="Cu2GeCl PBE relaxed" dos_at_fermi_per_ev_fu=8.52 e_above_lowest_polymorph_ev_per_fu=1.77 pbc="T T T"
Ge -4.456 -2.884 1.720
Cu -2.228 -1.442 0.860
Cu -6.684 -4.325 2.579
Cl 0.000 0.000 0.000

8.
8
Lattice="-0.012 7.349 0.818 0.285 0.970 5.529 5.597 4.439 1.611" Properties=species:S:1:pos:R:3 comment="CuGeCl6 PBE relaxed" dos_at_fermi_per_ev_fu=0.23 pbc="T T T"
Cu 2.935 6.379 3.979
Ge 0.000 0.000 0.000
Cl 3.841 4.416 3.305
Cl 5.075 10.823 7.262
Cl 1.346 6.007 2.311
Cl 0.794 1.935 0.696
Cl 2.029 8.342 4.654
Cl 4.523 6.751 5.647

9.
6
Lattice="-0.364 -3.959 1.513 4.205 -0.012 1.870 -2.707 2.572 6.103" Properties=species:S:1:pos:R:3 comment="CuGeCl PBE relaxed" dos_at_fermi_per_ev_fu=0.62 e_above_lowest_polymorph_ev_per_fu=0.18 pbc="T T T"
Ge 2.777 -3.211 5.011
Ge 0.636 -1.426 3.301
Cu 0.751 1.123 3.906
Cu 1.970 -0.797 5.260
Cl -1.277 0.679 4.862
Cl 2.418 -2.996 2.557

10.
6
Lattice="-1.984 -0.052 -3.290 -1.341 -5.208 0.891 -3.579 1.814 4.350" Properties=species:S:1:pos:R:3 comment="CuGeCl PBE relaxed" dos_at_fermi_per_ev_fu=0.71 e_above_lowest_polymorph_ev_per_fu=0.27 pbc="T T T"
Ge -2.108 -1.326 1.520
Ge -3.500 -3.343 0.140
Cu -2.005 -0.623 -0.796
Cu -3.865 -2.671 2.607
Cl -3.632 0.580 2.408
Cl -5.928 -1.848 1.600

11.
20
Lattice="6.120 0.000 -0.429 0.000 10.025 0.000 -0.755 0.000 10.113" Properties=species:S:1:pos:R:3 comment="CuGeCl3 PBE relaxed" dos_at_fermi_per_ev_fu=0.00 e_above_lowest_polymorph_ev_per_fu=0.00 pbc="T T T"
Cu 3.142 4.920 8.323
Cu 2.223 5.106 1.362
Cu 4.906 9.932 6.204
Cu 0.459 0.093 3.480
Ge 2.501 2.597 5.164
Ge 2.864 7.428 4.520
Ge -0.573 7.610 9.791
Ge 5.938 2.415 -0.106
Cl 3.316 1.268 6.981
Cl 2.050 8.757 2.703
Cl 4.732 6.281 7.546
Cl 0.633 3.745 2.139
Cl 1.761 4.374 6.521
Cl 3.604 5.651 3.163
Cl 0.167 9.387 8.434
Cl 5.199 0.639 1.251
Cl 0.294 1.570 5.179
Cl 5.071 8.456 4.505
Cl 1.634 6.582 9.776
Cl 3.732 3.443 -0.092

12.
6
Lattice="4.917 0.000 -0.002 0.000 4.616 0.000 -2.436 0.000 5.275" Properties=species:S:1:pos:R:3 comment="CuGeCl PBE relaxed" dos_at_fermi_per_ev_fu=0.47 e_above_lowest_polymorph_ev_per_fu=0.02 pbc="T T T"
Ge 2.243 2.308 2.750
Ge -1.023 0.000 2.743
Cu -0.134 2.308 3.360
Cu 1.347 0.000 3.366
Cl 1.857 2.308 0.474
Cl 4.289 0.000 0.465

13.
5
Lattice="-1.561 -3.242 3.368 2.146 -3.652 -2.521 4.153 0.668 2.568" Properties=species:S:1:pos:R:3 comment="CuGe3Cl PBE relaxed" dos_at_fermi_per_ev_fu=1.49 e_above_lowest_polymorph_ev_per_fu=2.95 pbc="T T T"
Ge 1.073 -1.826 -1.260
Ge 2.077 0.334 1.284
Ge -0.781 -1.621 1.684
Cu 2.369 -3.113 1.708
Cl 0.000 0.000 0.000

14.
6
Lattice="4.573 0.100 0.022 -0.224 4.811 -0.018 -0.059 -0.550 6.351" Properties=species:S:1:pos:R:3 comment="CuGeCl PBE relaxed" dos_at_fermi_per_ev_fu=0.59 e_above_lowest_polymorph_ev_per_fu=0.13 pbc="T T T"
Ge 3.301 2.997 3.320
Ge 0.989 1.365 3.035
Cu 3.283 0.644 2.488
Cu 1.008 3.718 3.867
Cl 3.260 3.693 0.976
Cl 1.030 0.668 5.379

15.
5
Lattice="-4.409 -0.823 -0.798 0.846 -5.691 1.195 -0.941 0.782 4.388" Properties=species:S:1:pos:R:3 comment="InCuGeCl2 PBE relaxed" dos_at_fermi_per_ev_fu=2.98 pbc="T T T"
Ge -2.252 -2.866 2.392
Cl -0.470 0.391 2.194
Cl -2.204 -0.411 -0.399
Cu 0.000 0.000 0.000
In 0.423 -2.846 0.598

16.
A plane-wave DFT calculation with PBE was carried out for crystalline Na2CuGeCl5 at its relaxed geometry.

```
18
Lattice="-2.933 -2.131 -1.502 -0.474 -1.679 8.434 -8.080 10.032 1.542" Properties=species:S:1:pos:R:3 pbc="T T T"
Na -9.601 5.163 6.295
Na -5.693 6.149 2.392
Na -3.120 2.591 2.415
Na -4.367 -1.697 5.811
Cu -9.180 8.008 1.436
Cu -5.235 1.850 7.598
Ge -6.887 2.719 4.465
Ge -1.103 -0.838 3.343
Cl -1.460 -1.915 5.568
Cl -9.480 6.770 3.780
Cl -8.140 4.987 8.819
Cl -6.544 5.322 5.226
Cl -7.461 1.668 7.076
Cl -6.100 3.261 2.157
Cl -4.322 2.327 5.137
Cl -3.652 1.614 -0.286
Cl -3.800 -0.519 3.030
Cl -0.349 -0.011 0.697
```

17.
5
Lattice="-1.451 0.808 4.724 -1.754 -3.892 0.127 4.329 -1.897 1.654" Properties=species:S:1:pos:R:3 comment="CuGe2OsCl PBE relaxed" dos_at_fermi_per_ev_fu=3.57 pbc="T T T"
Ge 2.164 -0.948 0.827
Ge -0.726 0.404 2.362
Os -0.877 -1.946 0.063
Cu 0.562 -2.491 3.252
Cl 0.000 0.000 0.000

18.
5
Lattice="4.601 0.000 0.000 0.000 5.425 0.000 0.000 0.000 4.601" Properties=species:S:1:pos:R:3 comment="CuGePCl2 PBE relaxed" dos_at_fermi_per_ev_fu=2.27 e_above_lowest_polymorph_ev_per_fu=1.10 pbc="T T T"
P 0.000 0.000 0.000
Ge 0.000 2.713 0.000
Cu 2.300 2.713 2.300
Cl 0.000 0.000 2.300
Cl 2.300 0.000 0.000

19.
5
Lattice="-4.490 0.553 0.492 -0.673 -4.312 -1.292 0.335 -1.461 4.700" Properties=species:S:1:pos:R:3 comment="CuGePCl2 PBE relaxed" dos_at_fermi_per_ev_fu=4.10 e_above_lowest_polymorph_ev_per_fu=0.00 pbc="T T T"
P 0.168 -0.730 2.350
Ge -2.414 -2.610 1.950
Cu 0.000 0.000 0.000
Cl -0.337 -2.156 -0.646
Cl -2.245 0.277 0.246

20.
5
Lattice="4.396 0.000 0.000 0.000 4.396 0.000 0.000 0.000 5.272" Properties=species:S:1:pos:R:3 comment="CuGeP2Cl PBE relaxed" dos_at_fermi_per_ev_fu=2.83 e_above_lowest_polymorph_ev_per_fu=0.00 pbc="T T T"
P 0.000 2.198 0.000
P 2.198 0.000 0.000
Ge 2.198 2.198 2.636
Cu 0.000 0.000 0.000
Cl 0.000 0.000 2.636

no.,uncorrected formation energy (eV per atom)
1,0.395
2,-0.219
3,-0.191
4,-0.156
5,-0.672
6,-0.541
7,0.537
8,-0.552
9,-0.160
10,-0.129
11,-0.629
12,-0.212
13,0.985
14,-0.176
15,0.018
16,-1.124
17,1.503
18,0.504
19,0.284
20,0.622